1.
Entry from the Alexandria database: a relaxed TiPtRh crystal (GGA-PBE).

Calculated values
The total energy comes out at -7.794 eV per atom. As for the crystal system: orthorhombic. Its density is 12.30 g/cm³. Its space-group type is Ima2 (46). Its total magnetization is 0.000 μB per atom. Its energy of formation is -0.6982 eV/atom.

The structure in POSCAR format:
```
TiPtRh
1.0
7.0278 0.0000 0.0000
3.5139 6.5453 0.1211
3.5139 2.2938 6.1314
Pt Rh Ti
6 6 6
Cartesian
6.6379 7.0460 2.7298
6.6379 1.7930 3.5228
7.3088 3.6029 0.2942
7.3088 5.2362 5.9584
9.4946 3.6925 4.8664
9.4946 5.1465 1.3861
7.1109 4.4195 3.1263
3.5970 0.0000 0.0000
7.7474 8.0107 5.1666
7.7474 0.8283 1.0860
11.2613 5.7193 3.5457
4.2335 3.1197 2.7068
5.2658 4.9418 1.2413
5.2658 3.8973 5.0112
8.8216 6.0817 3.9603
8.8216 2.7573 2.2923
12.3355 7.4991 4.9629
5.3078 1.3399 1.2896
```

---

2.
Entry from the Alexandria database: a relaxed AlReMoRu crystal (GGA-PBE).

Calculated values
The total energy comes out at -9.284 eV per atom. As for the crystal system: cubic. Its density is 11.61 g/cm³. Its space-group type is F-43m (216). Its total magnetization is 0.000 μB per atom. Its energy of formation is -0.2095 eV/atom.

The structure in POSCAR format:
```
AlReMoRu
1.0
-1.3241 -3.0958 -2.7715
-0.9427 -3.9928 1.4792
-4.1380 -1.3746 0.0812
Re Mo Al Ru
1 1 1 1
Cartesian
-3.2024 -4.2316 -0.6055
-4.8035 -6.3474 -0.9083
-1.6012 -2.1158 -0.3028
0.0000 0.0000 0.0000
```

---

3.
Entry from the Alexandria database: a relaxed NaLa2Ru crystal (GGA-PBE).

Calculated values
The total energy comes out at -5.231 eV per atom. As for the crystal system: tetragonal. Its density is 5.44 g/cm³. Its space-group type is P4/mmm (123). Its total magnetization is 0.000 μB per atom. Its energy of formation is -0.1181 eV/atom.

The structure in POSCAR format:
```
NaLa2Ru
1.0
-2.3276 -0.3396 2.6451
2.6544 0.0432 2.3414
-0.7109 9.7489 0.6261
Ru Na La
1 1 2
Cartesian
0.1634 -0.1482 2.4932
-0.1921 4.7263 2.8063
-0.5854 8.0276 0.5155
-0.1255 1.7213 0.1105
```

---

4.
Entry from the Alexandria database: a relaxed AcHfAl4 crystal (GGA-PBE).

Calculated values
The total energy comes out at -5.066 eV per atom. As for the crystal system: cubic. Its density is 6.77 g/cm³. Its space-group type is F-43m (216). Its total magnetization is 0.000 μB per atom. Its energy of formation is -0.2278 eV/atom.

The structure in POSCAR format:
```
AcHfAl4
1.0
5.6261 0.0000 0.0000
2.8131 4.8723 0.0000
2.8131 1.6241 4.5937
Ac Hf Al
1 1 4
Cartesian
2.8131 1.6241 1.1484
0.0000 0.0000 0.0000
5.6261 3.2482 0.5660
5.6261 1.6163 2.8738
7.0394 4.0642 2.8738
4.2128 4.0642 2.8738
```

---

5.
Entry from the Alexandria database: a relaxed Tm6Al2Bi crystal (GGA-PBE).

Calculated values
The total energy comes out at -4.563 eV per atom. As for the crystal system: orthorhombic. Its density is 8.61 g/cm³. Its space-group type is Immm (71). Its total magnetization is 0.000 μB per atom. Its energy of formation is -0.3191 eV/atom.

The structure in POSCAR format:
```
Tm6Al2Bi
1.0
-3.5567 -7.8558 -0.5997
5.7004 0.4692 6.4815
-5.6373 6.2582 1.9441
Tm Al Bi
12 4 2
Cartesian
-2.3657 1.2231 5.9399
-1.1279 -2.3516 1.8861
-3.3183 4.5056 3.3261
-0.1753 -5.6341 4.4998
-1.6148 -2.4318 5.5044
-1.8788 1.3033 2.3216
-1.8464 4.7657 6.6580
-1.6472 -5.8942 1.1679
-4.1539 -1.0712 3.3783
0.6603 -0.0573 4.4476
0.6831 2.3727 7.4910
-4.1767 -3.5012 0.3349
-4.5729 1.7665 3.8851
1.0793 -2.8949 3.9408
-5.9118 -1.0273 0.8645
-3.2822 -0.5703 0.4799
0.0315 3.3637 4.2128
0.0000 0.0000 0.0000
```

---

6.
Entry from the Alexandria database: a relaxed LiHo2Se3 crystal (GGA-PBE).

Calculated values
The total energy comes out at -5.304 eV per atom. As for the crystal system: orthorhombic. Its uncorrected formation energy is -1.717 eV per atom. Its density is 6.90 g/cm³. Its space-group type is Immm (71). Its total magnetization is 0.000 μB per atom.

The structure in POSCAR format:
```
LiHo2Se3
1.0
-1.3826 2.7959 2.5205
-5.3361 -1.7946 -0.9363
3.8618 -4.3890 3.7967
Li Ho Se
1 2 3
Cartesian
-1.4284 -1.6938 2.6904
-4.9549 0.0999 1.9565
2.0980 -3.4875 3.4243
-2.2819 0.9589 2.4698
-0.5750 -4.3466 2.9111
1.2396 -0.7966 3.1586
```

---

7.
Entry from the Alexandria database: a relaxed Cs2Na2LaO4 crystal (GGA-PBE).

Calculated values
The total energy comes out at -4.940 eV per atom. As for the crystal system: monoclinic. Its uncorrected formation energy is -1.706 eV per atom. Its density is 4.43 g/cm³. Its space-group type is C2/m (12). Its total magnetization is 0.117 μB per atom.

The structure in POSCAR format:
```
Cs2Na2LaO4
1.0
-0.9200 -3.8185 -0.1686
8.4670 -2.1558 2.6265
-5.5891 3.2010 3.8357
Cs Na La O
2 2 1 4
Cartesian
2.8206 -0.8021 2.7771
-0.8627 -1.9712 3.5165
5.5375 -3.5096 3.4370
-3.5796 0.7363 2.8566
0.0000 0.0000 0.0000
-1.5789 0.3049 1.7107
3.5368 -3.0782 4.5829
1.2887 -0.5470 5.3574
0.6692 -2.2263 0.9362
```

---

8.
Entry from the Alexandria database: a relaxed V3BiAs crystal (GGA-PBE).

Calculated values
The total energy comes out at -6.682 eV per atom. As for the crystal system: cubic. Its density is 6.76 g/cm³. Its space-group type is Pm-3m (221). Its total magnetization is 1.621 μB per atom. Its energy of formation is 0.4955 eV/atom.

The structure in POSCAR format:
```
V3BiAs
1.0
-2.0216 -3.7181 2.1618
3.8700 -2.6147 -0.8782
1.8765 1.3869 4.1400
As Bi V
1 1 3
Cartesian
0.0000 0.0000 0.0000
1.8625 -2.4730 2.7118
1.9350 -1.3074 -0.4391
0.9383 0.6934 2.0700
-1.0108 -1.8591 1.0809
```

---

9.
Entry from the Alexandria database: a relaxed Sc5As2S crystal (GGA-PBE).

Calculated values
The total energy comes out at -6.859 eV per atom. As for the crystal system: orthorhombic. Its uncorrected formation energy is -1.223 eV per atom. Its density is 4.43 g/cm³. Its space-group type is Pnma (62). Its total magnetization is 0.000 μB per atom.

The structure in POSCAR format:
```
Sc5As2S
1.0
-6.8383 1.5322 -1.3263
-0.1554 -5.6007 -5.6689
-3.0421 -7.2794 7.2753
Sc As S
20 8 4
Cartesian
-1.7738 -4.9877 2.1747
-8.2620 -6.3603 -1.8946
-3.7529 -3.3901 -4.9527
-6.2830 -7.9579 5.2328
-3.9950 -9.0050 -1.6779
-6.0409 -2.3430 1.9580
-8.3765 -5.8002 5.4377
-6.1041 -4.6212 -0.3480
-1.6594 -5.5478 -5.1577
-3.9318 -6.7267 0.6280
-1.5962 -3.2695 -2.8516
-8.4397 -8.0785 3.1317
-3.4672 -6.8990 4.1095
-6.5686 -4.4489 -3.8294
-6.7377 -8.3917 0.0706
-3.2981 -2.9563 0.2095
-6.5327 -5.5521 2.8627
-3.5031 -5.7959 -2.5827
-3.4694 -9.7841 1.3567
-6.5665 -1.5638 -1.0767
-5.5166 -8.2151 2.5716
-4.5192 -3.1329 -2.2916
-8.4625 -6.2300 0.8763
-4.4441 -0.4251 0.4492
-1.5734 -5.1180 -0.5963
-5.5918 -10.9229 -0.1691
-1.6485 -7.8258 -3.3370
-8.3873 -3.5221 3.6171
-4.5396 -4.4666 1.7357
-5.4963 -6.8814 -1.4556
-9.4855 -9.9682 1.7034
-0.5503 -1.3798 -1.4233
```

---

10.
Entry from the Alexandria database: a relaxed Zr2TcN crystal (GGA-PBE).

Calculated values
The total energy comes out at -9.777 eV per atom. As for the crystal system: trigonal. Its uncorrected formation energy is -0.830 eV per atom. Its density is 7.84 g/cm³. Its space-group type is R-3m (166). Its total magnetization is 0.000 μB per atom.

The structure in POSCAR format:
```
Zr2TcN
1.0
3.2247 0.0000 0.0000
1.6124 2.7927 0.0000
1.6124 0.9309 6.9254
Tc Zr N
1 2 1
Cartesian
3.2247 1.8618 3.4627
4.8371 2.7927 5.5619
1.6124 0.9309 1.3635
0.0000 0.0000 0.0000
```

---

11.
Entry from the Alexandria database: a relaxed AlRe2Cl crystal (GGA-PBE).

Calculated values
The total energy comes out at -6.893 eV per atom. As for the crystal system: orthorhombic. Its uncorrected formation energy is 0.728 eV per atom. Its density is 11.91 g/cm³. Its space-group type is Imm2 (44). Its total magnetization is 0.000 μB per atom.

The structure in POSCAR format:
```
AlRe2Cl
1.0
-3.2410 2.7801 -3.2698
-0.7914 -1.5360 -5.0930
-0.3424 -1.1833 5.2352
Re Al Cl
2 1 1
Cartesian
-0.0358 0.0111 -0.0743
-2.8839 1.1354 -1.2825
-1.9986 0.6166 -4.1450
-1.4726 -1.0802 -1.8072
```

---

12.
Entry from the Alexandria database: a relaxed DyUTc crystal (GGA-PBE).

Calculated values
The total energy comes out at -8.744 eV per atom. As for the crystal system: tetragonal. Its density is 12.64 g/cm³. Its space-group type is I4mm (107). Its total magnetization is 0.131 μB per atom. Its energy of formation is 0.0079 eV/atom.

The structure in POSCAR format:
```
DyUTc
1.0
3.4425 0.0000 0.0000
0.0000 3.4425 0.0000
-1.7212 -1.7212 5.5270
U Tc Dy
1 1 1
Cartesian
1.7213 1.7213 1.4918
0.0000 0.0000 0.3447
0.0000 0.0000 3.6906
```